# 1
First-principles (GGA-PBE) data for YPbS2Cl after structural relaxation, as listed in the Alexandria database.

Summary:
* density of states at the Fermi level: 0.015 states/eV/atom
* total moment: 0.000 μB/atom
* ΔE_f (raw): -1140 meV/atom

Unit cell a=5.299 b=5.299 c=5.091 alpha=90.00 beta=90.00 gamma=90.00
Positions (direct):
Y: 0.000 0.000 0.000
Pb: 0.500 0.500 0.500
S: 0.000 0.500 0.000
S: 0.500 0.000 0.000
Cl: 0.000 0.000 0.500


# 2
First-principles (GGA-PBE) data for YPbS2Cl after structural relaxation, as listed in the Alexandria database.

Summary:
* density of states at the Fermi level: 0.708 states/eV/atom
* total moment: 0.095 μB/atom
* ΔE_f (raw): -313 meV/atom

Unit cell a=5.279 b=5.279 c=5.168 alpha=90.00 beta=90.00 gamma=90.00
Positions (direct):
Y: 0.000 0.000 0.000
Pb: 0.500 0.500 0.500
S: 0.000 0.500 0.500
S: 0.500 0.000 0.500
Cl: 0.500 0.500 0.000


# 3
First-principles (GGA-PBE) data for ZnPbS2Cl after structural relaxation, as listed in the Alexandria database.

Summary:
* density of states at the Fermi level: 0.621 states/eV/atom
* total moment: 0.000 μB/atom
* ΔE_f (raw): 308 meV/atom

Unit cell a=5.221 b=5.221 c=5.343 alpha=90.00 beta=90.00 gamma=90.00
Positions (direct):
Zn: 0.000 0.000 0.000
Pb: 0.500 0.500 0.500
S: 0.000 0.500 0.500
S: 0.500 0.000 0.500
Cl: 0.500 0.500 0.000


# 4
First-principles (GGA-PBE) data for ZnPbSCl2 after structural relaxation, as listed in the Alexandria database.

Summary:
* total moment: 0.000 μB/atom
* ΔE_f (raw): -626 meV/atom

Unit cell a=4.787 b=4.787 c=4.947 alpha=90.00 beta=90.00 gamma=90.00
Positions (direct):
Zn: 0.000 0.000 0.000
Pb: 0.500 0.500 0.500
S: 0.000 0.000 0.500
Cl: 0.000 0.500 0.000
Cl: 0.500 0.000 0.000